Entry 1:
Here is Sm2Dy5YTh after structural relaxation from Alexandria. Energies are from PBE.

Lattice parameters (Å, degrees): 8.746 8.746 9.825 116.43 116.43 90.00
Fractional coordinates of all 18 atoms:
Dy  0.574  0.649  0.723
Dy  0.851  0.926  0.277
Dy  0.500  0.500  0.000
Dy  0.926  0.426  0.277
Dy  0.426  0.351  0.277
Dy  0.074  0.574  0.723
Dy  0.000  0.000  0.000
Dy  0.649  0.149  0.723
Dy  0.351  0.851  0.277
Dy  0.149  0.074  0.723
Sm  0.615  0.115  0.000
Sm  0.115  0.385  0.000
Sm  0.885  0.615  0.000
Sm  0.385  0.885  0.000
Y  0.250  0.750  0.500
Y  0.750  0.250  0.500
Th  0.250  0.250  0.500
Th  0.750  0.750  0.500

Results
M_tot ... 0.000 μB per atom
D(E_F) ... 22.73 states/eV per cell
Space-group type ... I4/mcm, No. 140
Formation energy from the elements ... 0.3026 eV per atom
Crystal system ... tetragonal

Entry 2:
Here is Sm2Dy6Y3Th after structural relaxation from Alexandria. Energies are from PBE.

Lattice parameters (Å, degrees): 6.185 6.185 11.822 95.00 95.00 119.95
Fractional coordinates of all 12 atoms:
Y  0.500  0.500  0.500
Y  0.167  0.833  0.500
Y  0.833  0.167  0.500
Dy  0.586  0.916  0.750
Dy  0.414  0.084  0.250
Dy  0.754  0.754  0.250
Dy  0.916  0.586  0.750
Dy  0.246  0.246  0.750
Dy  0.084  0.414  0.250
Th  0.000  0.000  0.000
Sm  0.667  0.333  0.000
Sm  0.333  0.667  0.000

Results
M_tot ... 0.000 μB per atom
D(E_F) ... 16.35 states/eV per cell
Space-group type ... C2/m, No. 12
Formation energy from the elements ... 0.0281 eV per atom
Crystal system ... monoclinic